1.
Compound: Zr4TlGeN2
Source: OQMD
Functional: GGA-PBE
Structure: relaxed

Calculated values
Total energy ... -8.2920 eV per atom
Space group ... P-6m2 (187)
Crystal system ... hexagonal

Lattice parameters (Å, degrees): 3.308 3.308 14.265 90.00 90.00 120.00
Fractional coordinates of all 8 atoms:
Zr1 0.000 0.000 0.150
Zr2 0.000 0.000 0.850
Zr3 0.667 0.333 0.325
Zr4 0.667 0.333 0.675
Tl1 0.000 0.000 0.500
Ge1 0.667 0.333 0.000
N1 0.333 0.667 0.239
N2 0.333 0.667 0.761



2.
Compound: Ho2ReC2
Source: OQMD
Functional: GGA-PBE
Structure: relaxed

Calculated values
Total energy ... -8.4295 eV per atom
Space group ... Pnma (62)
Crystal system ... orthorhombic

Lattice parameters (Å, degrees): 6.555 5.081 9.819 90.00 90.00 90.00
Fractional coordinates of all 20 atoms:
Ho1 0.031 0.250 0.217
Ho2 0.180 0.250 0.556
Ho3 0.320 0.750 0.056
Ho4 0.469 0.750 0.717
Ho5 0.531 0.250 0.283
Ho6 0.680 0.250 0.944
Ho7 0.820 0.750 0.444
Ho8 0.969 0.750 0.783
Re1 0.222 0.250 0.867
Re2 0.278 0.750 0.367
Re3 0.722 0.250 0.633
Re4 0.778 0.750 0.133
C1 0.045 0.750 0.241
C2 0.176 0.750 0.551
C3 0.324 0.250 0.051
C4 0.455 0.250 0.741
C5 0.545 0.750 0.259
C6 0.676 0.750 0.949
C7 0.824 0.250 0.449
C8 0.955 0.250 0.759



3.
Compound: NbSNCl6
Source: OQMD
Functional: GGA-PBE
Structure: relaxed

Calculated values
Total energy ... -4.4662 eV per atom
Space group ... P-1 (2)
Crystal system ... triclinic

Lattice parameters (Å, degrees): 6.583 12.485 13.099 82.75 78.21 81.86
Fractional coordinates of all 36 atoms:
Nb1 0.074 0.028 0.221
Nb2 0.121 0.459 0.733
Nb3 0.879 0.541 0.267
Nb4 0.926 0.972 0.779
S1 0.083 0.291 0.528
S2 0.456 0.224 0.173
S3 0.544 0.776 0.827
S4 0.917 0.709 0.472
N1 0.064 0.363 0.610
N2 0.327 0.136 0.210
N3 0.673 0.864 0.790
N4 0.936 0.637 0.390
Cl1 0.021 0.862 0.926
Cl2 0.089 0.661 0.159
Cl3 0.101 0.834 0.673
Cl4 0.166 0.561 0.859
Cl5 0.187 0.932 0.371
Cl6 0.195 0.075 0.767
Cl7 0.196 0.427 0.301
Cl8 0.292 0.559 0.582
Cl9 0.344 0.930 0.114
Cl10 0.373 0.191 0.493
Cl11 0.408 0.317 0.032
Cl12 0.425 0.340 0.738
Cl13 0.575 0.660 0.262
Cl14 0.592 0.683 0.968
Cl15 0.627 0.809 0.507
Cl16 0.656 0.070 0.886
Cl17 0.708 0.441 0.418
Cl18 0.804 0.573 0.699
Cl19 0.805 0.925 0.233
Cl20 0.813 0.068 0.629
Cl21 0.834 0.439 0.141
Cl22 0.899 0.166 0.327
Cl23 0.911 0.339 0.841
Cl24 0.979 0.138 0.074



4.
Compound: KPtPb
Source: OQMD
Functional: GGA-PBE
Structure: relaxed

Calculated values
Total energy ... -2.9224 eV per atom
Space group ... F-43m (216)
Crystal system ... cubic

Lattice parameters (Å, degrees): 7.204 7.204 7.204 90.00 90.00 90.00
Fractional coordinates of all 12 atoms:
K1 0.000 0.000 0.000
K2 0.000 0.500 0.500
K3 0.500 0.000 0.500
K4 0.500 0.500 0.000
Pt1 0.250 0.250 0.250
Pt2 0.250 0.750 0.750
Pt3 0.750 0.250 0.750
Pt4 0.750 0.750 0.250
Pb1 0.250 0.250 0.750
Pb2 0.250 0.750 0.250
Pb3 0.750 0.250 0.250
Pb4 0.750 0.750 0.750